[1]
Material: Pa2MnP4Os3
Method: DFT, PBE
State: relaxed

Structure (extended XYZ):
```
10
Lattice="4.1379 0.0000 0.0000 0.0000 4.1379 0.0000 0.0000 0.0000 9.2715" Properties=species:S:1:pos:R:3 pbc="T T T"
Mn 2.0689 2.0689 4.6358
Os 0.0000 0.0000 4.6358
Os 2.0689 0.0000 8.1480
Os 0.0000 2.0689 1.1235
Pa 2.0689 0.0000 2.3352
Pa 0.0000 2.0689 6.9363
P 0.0000 2.0689 3.4711
P 0.0000 0.0000 0.0000
P 2.0689 0.0000 5.8005
P 2.0689 2.0689 0.0000
```

Output
Calculated volume, Å³ per cell: 159
DFT total energy, eV/atom: -9.10
Formation energy from the elements, eV/atom: -0.754


[2]
Material: Na3Cl
Method: DFT, PBE
State: relaxed

Structure (extended XYZ):
```
4
Lattice="3.5531 0.0000 0.0000 0.0000 3.5531 0.0000 0.0000 0.0000 9.3803" Properties=species:S:1:pos:R:3 pbc="T T T"
Cl 0.0000 0.0000 0.0000
Na 0.0000 0.0000 4.6902
Na 1.7765 1.7765 7.6902
Na 1.7765 1.7765 1.6901
```

Output
Calculated volume, Å³ per cell: 118
Formation energy without anion corrections, eV per atom: -0.77
DFT total energy, eV/atom: -2.22
Energy relative to the lowest polymorph listed for this composition, meV per atom: 6.5


[3]
Material: Li3Sn2Pb2
Method: DFT, PBE
State: relaxed

Structure (extended XYZ):
```
14
Lattice="-7.0168 -2.4588 1.2347 1.7170 -0.8588 -7.2884 4.8309 -3.9739 4.2043" Properties=species:S:1:pos:R:3 pbc="T T T"
Sn 3.1944 -3.6534 -1.8558
Sn 4.0113 -3.2998 3.4910
Sn 0.3327 -3.9295 -3.3324
Sn -1.4594 -1.2416 -3.2363
Pb -3.5820 -2.3739 0.3270
Pb -0.5040 -3.5109 0.2193
Pb -3.6427 -4.6807 -4.6115
Pb -0.2260 -6.4762 1.6010
Li -2.3915 -3.8610 -2.0462
Li 1.1955 -4.0167 2.6926
Li 1.1247 -5.6714 -1.0045
Li -2.6866 -4.8365 1.8746
Li 0.3656 -1.8729 -5.5495
Li 0.9855 -1.6160 -1.5152
```

Output
Calculated volume, Å³ per cell: 330
DFT total energy, eV/atom: -3.21
Formation energy from the elements, eV/atom: -0.192


[4]
Material: K3Tl5I12
Method: DFT, PBE
State: relaxed

Structure (extended XYZ):
```
80
Lattice="17.4243 0.0000 0.0000 -5.8081 16.4278 0.0000 -5.8081 -8.2139 14.2269" Properties=species:S:1:pos:R:3 pbc="T T T"
I -2.1317 -0.8161 6.6178
I -6.4987 -0.0366 11.6248
I 13.0203 3.7842 4.0157
I 11.6751 -3.6236 8.9419
I 2.8452 10.9790 5.7807
I -4.4040 13.9064 1.8284
I 8.7710 14.6027 0.4957
I -5.7492 6.3888 13.7312
I -2.9629 3.6236 8.9419
I -3.6764 9.4301 11.1291
I -5.0358 7.3978 7.6091
I 5.7492 2.7651 8.4462
I 7.3081 12.6436 4.0157
I 0.7723 10.2462 9.7156
I -0.6906 5.9787 1.3328
I 8.0216 8.1773 2.6021
I 3.6764 2.0323 4.5113
I 10.8439 0.8161 6.6178
I -5.8670 11.8375 5.2850
I 7.9398 9.0300 7.6091
I 2.1317 6.1816 9.7156
I -1.4041 9.4767 5.8441
I -1.5000 -4.4297 10.2112
I 0.0589 5.4488 5.7807
I -0.7723 1.2162 3.0978
I 3.5946 5.9421 1.2694
I 6.4987 -2.2718 12.9575
I 11.5573 1.8251 0.4957
I 2.2135 2.2718 12.9575
I 4.3081 6.9511 5.8441
I -0.6906 10.4857 1.2694
I 7.2122 -1.2628 8.3828
I 6.4987 2.2352 12.8941
I 2.2135 -2.2352 12.8941
I 1.5000 1.2628 8.3828
I 9.4845 -1.2162 3.0978
I 3.5946 10.4491 1.3328
I 12.3068 8.2505 2.6021
I 5.0358 -2.0323 4.5113
I 6.5804 6.9977 11.1291
I 7.3081 2.5214 1.8284
I 8.7710 4.5903 5.2850
I -2.9629 -6.3888 13.7312
I 2.9629 -2.7651 8.4462
I -7.2122 4.4297 10.2112
I -2.2135 0.0366 11.6248
I 10.2121 -5.6925 12.3985
I -1.5000 5.6925 12.3985
Tl 0.0000 0.0000 0.0000
Tl -4.3561 9.2406 5.3351
Tl -1.4520 1.0267 8.8918
Tl -5.8081 4.1069 7.1134
Tl 8.7122 0.0000 0.0000
Tl 7.2601 7.1872 5.3351
Tl -2.9041 -4.1069 7.1134
Tl 4.3561 12.3208 3.5567
Tl 10.1642 -1.0267 8.8918
Tl -2.9041 8.2139 0.0000
Tl -1.4520 13.3476 1.7784
Tl 2.9041 4.1069 7.1134
Tl 1.4520 5.1337 12.4485
Tl 4.3561 3.0802 1.7784
Tl 5.8081 -4.1069 7.1134
Tl 7.2601 4.1069 10.6702
Tl -1.4520 4.1069 3.5567
Tl 1.4520 -4.1069 10.6702
Tl 5.8081 8.2139 0.0000
Tl 7.2601 -5.1337 12.4485
K 4.3561 9.2406 8.8918
K 4.3561 0.0000 10.6702
K 10.1642 11.2941 1.7784
K 1.4520 8.2139 3.5567
K 7.2601 1.0267 5.3351
K 13.0682 0.0000 3.5567
K 10.1642 5.1337 1.7784
K 1.4520 -1.0267 5.3351
K -4.3561 3.0802 12.4485
K -7.2601 8.2139 10.6702
K -1.4520 7.1872 8.8918
K -4.3561 -3.0802 12.4485
```

Output
Calculated volume, Å³ per cell: 4072
Formation energy without anion corrections, eV per atom: -0.70
DFT total energy, eV/atom: -2.39


[5]
Material: Be2CoSnPt
Method: DFT, PBE
State: relaxed

Structure (extended XYZ):
```
5
Lattice="4.0859 0.0000 0.0000 0.0000 4.7137 0.0000 0.0000 0.0000 4.0859" Properties=species:S:1:pos:R:3 pbc="T T T"
Be 0.0000 0.0000 2.0430
Be 2.0430 0.0000 0.0000
Pt 0.0000 2.3569 0.0000
Co 0.0000 0.0000 0.0000
Sn 2.0430 2.3569 2.0430
```

Output
Calculated volume, Å³ per cell: 79
DFT total energy, eV/atom: -4.48
Formation energy from the elements, eV/atom: 0.440


[6]
Material: Ni2HRhPb
Method: DFT, PBE
State: relaxed

Structure (extended XYZ):
```
5
Lattice="-0.1172 -0.2249 -3.9435 -3.7664 -1.1822 0.1793 -1.1727 3.7096 -0.1767" Properties=species:S:1:pos:R:3 pbc="T T T"
Pb -2.5282 1.1513 -1.9704
H 0.0000 0.0000 0.0000
Ni -1.8832 -0.5911 0.0897
Ni -0.0586 -0.1124 -1.9717
Rh -0.5864 1.8548 -0.0883
```

Output
Calculated volume, Å³ per cell: 61
DFT total energy, eV/atom: -5.21


[7]
Material: La2AlTlRu
Method: DFT, PBE
State: relaxed

Structure (extended XYZ):
```
5
Lattice="-1.1260 1.1040 5.2028 0.7965 -5.2231 1.2807 4.7399 0.9261 0.8293" Properties=species:S:1:pos:R:3 pbc="T T T"
La -0.5630 0.5520 2.6014
La 0.3982 -2.6116 0.6404
Al 2.3700 0.4631 0.4147
Ru 0.0000 0.0000 0.0000
Tl 2.2052 -1.5965 3.6564
```

Output
Calculated volume, Å³ per cell: 145
DFT total energy, eV/atom: -5.38
Formation energy from the elements, eV/atom: -0.335


[8]
Material: Ag2Sn
Method: DFT, PBE
State: relaxed

Structure (extended XYZ):
```
12
Lattice="-1.9556 1.5295 2.4687 -2.9517 -7.1754 2.1074 6.5374 -0.9884 5.7912" Properties=species:S:1:pos:R:3 pbc="T T T"
Ag -1.7127 -3.4973 4.5342
Ag -0.1023 0.0701 3.5997
Ag 3.3427 -3.1371 5.8331
Ag 0.5583 -3.8254 6.5366
Ag 1.0718 -2.8090 3.8307
Ag 1.7324 -6.7045 6.7676
Ag -2.5458 -6.0728 2.9872
Ag 4.1759 -0.5615 7.3801
Sn 2.5674 -4.4670 8.5256
Sn -0.9373 -2.1674 1.8417
Sn -0.2751 -6.0784 4.7895
Sn 1.9051 -0.5560 5.5778
```

Output
Calculated volume, Å³ per cell: 247
DFT total energy, eV/atom: -3.20
Formation energy from the elements, eV/atom: 0.035


[9]
Material: CaSmMgGa
Method: DFT, PBE
State: relaxed

Structure (extended XYZ):
```
4
Lattice="-2.6590 -1.5359 1.9376 2.2548 -2.6738 0.9749 2.3024 4.3514 6.6090" Properties=species:S:1:pos:R:3 pbc="T T T"
Ga 0.0534 -1.6219 2.1898
Sm 0.7563 1.4294 2.1710
Ca 2.0360 3.8479 5.8444
Mg 1.1890 0.5242 5.4493
```

Output
Calculated volume, Å³ per cell: 109
DFT total energy, eV/atom: -3.14
Formation energy from the elements, eV/atom: -0.306
Energy relative to the lowest polymorph listed for this composition, meV per atom: 0.0


[10]
Material: Sr3Pr2SmSe6
Method: DFT, PBE
State: relaxed

Structure (extended XYZ):
```
12
Lattice="7.4316 0.0022 -0.0002 -3.7120 6.4381 -0.0002 -1.2411 -2.1489 7.1802" Properties=species:S:1:pos:R:3 pbc="T T T"
Pr 3.7113 2.1508 -0.0002
Pr 0.0082 4.2895 -0.0002
Se -0.0190 -0.0329 5.4404
Se 0.0361 4.2925 5.4479
Se 2.4975 4.3243 1.7394
Se 2.4423 -0.0011 1.7319
Se -1.2215 2.1149 1.7319
Se 3.7000 2.1765 5.4479
Sm 0.0000 0.0000 0.0000
Sr -2.4605 4.2824 3.5899
Sr 4.9389 0.0090 3.5899
Sr 1.2392 2.1457 3.5899
```

Output
Calculated volume, Å³ per cell: 344
Formation energy without anion corrections, eV per atom: -1.92
DFT total energy, eV/atom: -5.27


[11]
Material: Sc2TaTc
Method: DFT, PBE
State: relaxed

Structure (extended XYZ):
```
4
Lattice="9.2755 -0.0088 -0.0052 8.7586 3.0531 -0.0052 8.7586 1.4785 2.6712" Properties=species:S:1:pos:R:3 pbc="T T T"
Tc 20.0946 3.3921 1.9956
Ta 6.6982 1.1307 0.6652
Sc 13.1373 2.2177 1.3047
Sc 0.2591 0.0437 0.0257
```

Output
Calculated volume, Å³ per cell: 76
DFT total energy, eV/atom: -8.58
Formation energy from the elements, eV/atom: 0.145
Energy relative to the lowest polymorph listed for this composition, meV per atom: 328.2


[12]
Material: AcPm3Sm3
Method: DFT, PBE
State: relaxed

Structure (extended XYZ):
```
14
Lattice="-2.4426 4.3309 -3.2341 -6.9352 -6.2871 -3.1814 -1.5128 5.2837 8.2182" Properties=species:S:1:pos:R:3 pbc="T T T"
Sm -6.9399 2.1283 -0.0674
Sm -2.2023 3.7757 3.9999
Sm -5.2508 0.7740 -3.1567
Sm -5.6398 2.5535 4.9595
Sm -3.9507 1.1992 1.8701
Sm -8.6883 -0.4482 -2.1972
Ac -5.7384 -1.3474 -0.1901
Ac -5.1523 4.6750 1.9928
Pm -7.3920 0.0305 2.9042
Pm -8.5863 3.4796 2.9857
Pm -3.3718 7.2483 4.0941
Pm -7.5188 -3.9208 -2.2914
Pm -2.3043 -0.1521 -1.1829
Pm -3.4986 3.2970 -1.1015
```

Output
Calculated volume, Å³ per cell: 502
DFT total energy, eV/atom: -4.61
Formation energy from the elements, eV/atom: 0.040
Energy relative to the lowest polymorph listed for this composition, meV per atom: 14.8


[13]
Material: Tm4RuPt
Method: DFT, PBE
State: relaxed

Structure (extended XYZ):
```
12
Lattice="5.9062 0.1019 -2.0438 -2.5591 6.3522 -3.0363 0.0863 -0.0106 7.7860" Properties=species:S:1:pos:R:3 pbc="T T T"
Tm 0.4746 1.9326 1.4005
Tm 0.6012 4.0814 4.1289
Tm 2.9588 4.5109 1.3053
Tm 3.9077 4.9465 -3.3684
Tm 2.8322 2.3622 -1.4231
Tm 3.7157 0.3795 1.2654
Tm -0.2823 6.0640 1.4404
Tm -0.4743 1.4971 6.0742
Pt 0.6775 4.0798 -0.5969
Pt 2.7559 2.3638 3.3027
Ru 1.4814 0.0344 -0.4964
Ru 1.9520 6.4092 3.2022
```

Output
Calculated volume, Å³ per cell: 295
DFT total energy, eV/atom: -6.24
Formation energy from the elements, eV/atom: -0.703
Energy relative to the lowest polymorph listed for this composition, meV per atom: 0.0


[14]
Material: VAg
Method: DFT, PBE
State: relaxed

Structure (extended XYZ):
```
16
Lattice="-0.8170 -6.7160 4.3573 7.8969 0.0434 1.5477 -1.3151 4.4330 6.5861" Properties=species:S:1:pos:R:3 pbc="T T T"
V 5.8259 3.3330 7.7480
V 0.5890 -0.2288 1.2762
V 2.1265 -2.2633 5.8597
V 6.2222 -5.5380 5.9745
V 2.0247 0.0148 6.3151
V -1.1075 -2.0453 9.9835
V 3.9070 -0.8821 5.2856
V 3.4713 -1.3486 7.5217
Ag 4.4047 1.1830 7.0225
Ag 4.6096 -3.4047 6.1054
Ag 5.8335 -0.4352 3.4808
Ag 0.7053 -4.4132 5.1343
Ag 1.6963 -0.6590 3.6755
Ag 0.4121 2.1481 6.4460
Ag 0.8189 -1.5984 8.1787
Ag 4.5787 -1.7788 9.9211
```

Output
Calculated volume, Å³ per cell: 521
DFT total energy, eV/atom: -4.63
Formation energy from the elements, eV/atom: 1.355


[15]
Material: Tl2GeSe
Method: DFT, PBE
State: relaxed

Structure (extended XYZ):
```
4
Lattice="0.0000 3.7479 3.7479 3.7479 0.0000 3.7479 3.7479 3.7479 0.0000" Properties=species:S:1:pos:R:3 pbc="T T T"
Se 3.7479 3.7479 3.7479
Ge 0.0000 0.0000 0.0000
Tl 5.6219 5.6219 5.6219
Tl 1.8740 1.8740 1.8740
```

Output
Calculated volume, Å³ per cell: 105
Formation energy without anion corrections, eV per atom: 0.18
DFT total energy, eV/atom: -3.03
Energy relative to the lowest polymorph listed for this composition, meV per atom: 163.8


[16]
Material: CaLaPb
Method: DFT, PBE
State: relaxed

Structure (extended XYZ):
```
6
Lattice="3.6900 0.0000 0.0000 0.0000 3.6900 0.0000 -1.8450 -1.8450 15.3719" Properties=species:S:1:pos:R:3 pbc="T T T"
Pb 1.8450 1.8450 11.3917
Pb 0.0000 0.0000 3.9802
La 0.0000 0.0000 13.5825
La 1.8450 1.8450 1.7893
Ca 0.0000 0.0000 9.2321
Ca 1.8450 1.8450 6.1398
```

Output
Calculated volume, Å³ per cell: 209
DFT total energy, eV/atom: -3.83
Formation energy from the elements, eV/atom: -0.288


[17]
Material: Nd12YIn3
Method: DFT, PBE
State: relaxed

Structure (extended XYZ):
```
16
Lattice="-1.3068 -2.7950 3.9398 -0.1535 -4.0553 -2.9279 19.6826 -3.6097 3.9678" Properties=species:S:1:pos:R:3 pbc="T T T"
Nd 9.1111 -5.2300 2.4899
Nd 1.9353 -1.8723 2.4918
Nd -0.7302 -3.4252 0.5060
Nd 12.1811 -4.2757 1.0071
Nd 11.6044 -3.6456 4.4410
Nd 16.4404 -4.5325 5.4159
Nd 17.0171 -5.1626 1.9820
Nd 7.3480 -3.3894 0.0328
Nd 6.7714 -2.7592 3.4667
Nd 2.5120 -2.5024 -0.9421
Nd 13.9371 -6.1151 3.4627
Nd 4.2852 -4.3450 1.5170
In 5.0411 -0.9245 1.0162
In 9.8413 -1.8049 1.9839
In 14.6416 -2.6852 2.9516
Y 0.0000 0.0000 0.0000
```

Output
Calculated volume, Å³ per cell: 511
DFT total energy, eV/atom: -4.69
Formation energy from the elements, eV/atom: -0.197


[18]
Material: LaNdGdEr
Method: DFT, PBE
State: relaxed

Structure (extended XYZ):
```
4
Lattice="5.7803 0.0000 0.0000 2.8901 5.0059 0.0000 2.8901 1.6686 4.7196" Properties=species:S:1:pos:R:3 pbc="T T T"
La 5.7803 3.3372 2.3598
Gd 8.6704 5.0059 3.5397
Er 2.8901 1.6686 1.1799
Nd 0.0000 0.0000 0.0000
```

Output
Calculated volume, Å³ per cell: 137
DFT total energy, eV/atom: -6.99
Formation energy from the elements, eV/atom: 0.097


[19]
Material: TbNd4DyS8
Method: DFT, PBE
State: relaxed

Structure (extended XYZ):
```
14
Lattice="8.2671 0.0000 0.0000 4.1336 7.1595 0.0000 4.1336 2.3865 6.7243" Properties=species:S:1:pos:R:3 pbc="T T T"
S 4.1336 2.3865 1.7430
S 6.0287 6.0654 1.6832
S 10.5055 6.0654 1.6832
S 8.2671 7.2760 5.0712
S 8.2671 2.1883 1.6832
S 6.0995 3.5215 5.0712
S 12.4007 7.1595 4.8936
S 10.4347 3.5215 5.0712
Nd 8.2671 4.7730 0.8568
Nd 2.0861 1.2044 3.3672
Nd 4.1336 4.7507 3.3672
Nd 6.1810 1.2044 3.3672
Dy 8.2671 4.7730 5.8695
Tb 4.1336 2.3865 6.7042
```

Output
Calculated volume, Å³ per cell: 398
Formation energy without anion corrections, eV per atom: -1.91
DFT total energy, eV/atom: -6.29


[20]
Material: Nd5DyY12
Method: DFT, PBE
State: relaxed

Structure (extended XYZ):
```
18
Lattice="15.2581 -0.0062 0.0034 7.6252 7.6400 0.0157 -0.0009 -0.0093 5.0950" Properties=species:S:1:pos:R:3 pbc="T T T"
Y 17.8148 5.0786 2.5608
Y 2.5406 -0.0053 2.5480
Y 10.1869 2.5446 2.5545
Y 20.3419 7.6299 2.5661
Y 10.1710 5.0937 5.1066
Y 2.5432 2.5270 5.1002
Y 12.6955 5.0799 2.5596
Y 12.6950 7.6281 5.1117
Y 10.1875 -0.0036 0.0024
Y 20.3393 5.0975 0.0139
Y 12.7115 2.5309 0.0075
Y 5.0677 2.5460 2.5532
Nd 7.6287 -0.0077 2.5492
Nd 15.2568 2.5181 2.5555
Nd 15.2544 5.0760 5.1077
Nd 7.6257 5.1064 2.5585
Nd 7.6281 2.5485 0.0064
Dy 0.0001 0.0000 0.0000
```

Output
Calculated volume, Å³ per cell: 594
DFT total energy, eV/atom: -5.87
Formation energy from the elements, eV/atom: 0.021